1.
# GGA-PBE Na2SeO3, optimized geometry
# Space group: Fmmm
# Formation energy without anion corrections in eV per atom: -0.899
data_Na2SeO3
_cell_length_a 8.9447
_cell_length_b 8.8520
_cell_length_c 4.8130
_cell_angle_alpha 75.37
_cell_angle_beta 73.25
_cell_angle_gamma 31.38
_symmetry_space_group_name_H-M 'P 1'
_symmetry_Int_Tables_number 1
_symmetry_space_group_name_Hall 'P 1'
loop_
_atom_site_label
_atom_site_fract_x
_atom_site_fract_y
_atom_site_fract_z
Na1 0.1690 0.8310 0.1690
Na2 0.2500 0.2500 0.2500
Na3 0.7500 0.7500 0.7500
Na4 0.8310 0.1690 0.8310
Se1 0.3920 0.3920 0.6080
Se2 0.6080 0.6080 0.3920
O1 0.1269 0.6798 0.8731
O2 0.2868 0.2868 0.7132
O3 0.3202 0.8731 0.6798
O4 0.6798 0.1269 0.3202
O5 0.7132 0.7132 0.2868
O6 0.8731 0.3202 0.1269

2.
# GGA-PBE Hf2Nb2Bi, optimized geometry
# Calculated formation energy in eV/atom: 0.19
# Energy above the lowest structure with this stoichiometry in meV per atom: 0
# Space group: P4/mbm
data_Hf2Nb2Bi
_cell_length_a 7.8337
_cell_length_b 7.8337
_cell_length_c 3.6082
_cell_angle_alpha 90.00
_cell_angle_beta 90.00
_cell_angle_gamma 90.00
_symmetry_space_group_name_H-M 'P 1'
_symmetry_Int_Tables_number 1
_symmetry_space_group_name_Hall 'P 1'
loop_
_atom_site_label
_atom_site_fract_x
_atom_site_fract_y
_atom_site_fract_z
Hf1 0.1865 0.3135 0.0000
Hf2 0.3135 0.8135 0.0000
Hf3 0.6865 0.1865 0.0000
Hf4 0.8135 0.6865 0.0000
Nb1 0.1087 0.6087 0.5000
Nb2 0.3913 0.1087 0.5000
Nb3 0.6087 0.8913 0.5000
Nb4 0.8913 0.3913 0.5000
Bi1 0.0000 0.0000 0.5000
Bi2 0.5000 0.5000 0.5000

What did we get for density of states at the Fermi level? Answer: 2.8; 3.7 states/eV/f.u., in the order shown.